one | Computed, not measured: a geometry-optimized BaCaN structure at the PBE-GGA level of DFT.

a = 3.822 Å, b = 3.822 Å, c = 14.253 Å
α = 89.83°, β = 97.87°, γ = 120.01°
Sites, in units of the cell vectors:
1 Ba 0.556 0.779 0.334
2 Ba 0.444 0.221 0.666
3 Ca 0.244 0.619 0.863
4 Ca 0.756 0.381 0.137
5 N 0.852 0.924 0.776
6 N 0.148 0.076 0.224

Calculated values
DOS at the Fermi energy: 3.1 states/eV per cell
Density: 3.57 g/cm3

=====

two | Computed, not measured: a geometry-optimized BaCaN structure at the PBE-GGA level of DFT.

a = 4.308 Å, b = 8.478 Å, c = 8.192 Å
α = 130.64°, β = 105.24°, γ = 90.00°
Sites, in units of the cell vectors:
1 Ba 0.054 0.862 0.107
2 Ba 0.946 0.138 0.893
3 Ca 0.735 0.349 0.470
4 Ca 0.265 0.651 0.530
5 N 0.852 0.732 0.705
6 N 0.148 0.268 0.295

Calculated values
DOS at the Fermi energy: 2.6 states/eV per cell
Density: 2.98 g/cm3

=====

The data favor one; the next most stable structure lies 5.2 kJ/mol of atoms above it.